Entry 1:
A plane-wave DFT calculation with PBE was carried out for an optimized crystal structure of TePbO2.

Properties
The total magnetization comes out at 0.00 μB per cell. As for the distance to the lowest polymorph of the same formula: 0 meV/atom. For the energy, the calculation gives -0.180 hartree per atom.

Cell: 7.367 7.367 7.367 Å, 27.80 27.80 27.80°
Sites, in units of the cell vectors:
Te 0.000 0.000 0.000
Pb 0.500 0.500 0.500
O 0.097 0.097 0.097
O 0.903 0.903 0.903

Entry 2:
A plane-wave DFT calculation with PBE was carried out for an optimized crystal structure of Te2PbO4.

Properties
The total magnetization comes out at 0.00 μB per cell. For the energy, the calculation gives -0.190 hartree per atom.

Cell: 6.575 7.122 7.302 Å, 64.97 73.29 72.39°
Sites, in units of the cell vectors:
Te 0.000 0.000 0.000
Te 0.012 0.026 0.459
Te 0.521 0.717 0.717
Te 0.938 0.504 0.525
Pb 0.425 0.181 0.012
Pb 0.535 0.464 0.316
O 0.125 0.248 0.861
O 0.175 0.844 0.830
O 0.175 0.879 0.215
O 0.227 0.192 0.327
O 0.514 0.492 0.992
O 0.799 0.164 0.284
O 0.805 0.645 0.282
O 0.842 0.232 0.616

Entry 3:
A plane-wave DFT calculation with PBE was carried out for an optimized crystal structure of TePbO3.

Properties
The total magnetization comes out at 0.00 μB per cell. For the energy, the calculation gives -0.192 hartree per atom.

Cell: 4.244 4.244 4.244 Å, 90.00 90.00 90.00°
Sites, in units of the cell vectors:
Te 0.000 0.000 0.000
Pb 0.500 0.500 0.500
O 0.000 0.000 0.500
O 0.000 0.500 0.000
O 0.500 0.000 0.000

Entry 4:
A plane-wave DFT calculation with PBE was carried out for an optimized crystal structure of Te3Pb12O5.

Properties
The total magnetization comes out at 0.00 μB per cell. For the energy, the calculation gives -0.158 hartree per atom.

Cell: 14.367 14.367 14.367 Å, 109.47 109.47 109.47°
Sites, in units of the cell vectors:
Te 0.125 0.250 0.375
Te 0.125 0.375 0.750
Te 0.250 0.375 0.125
Te 0.250 0.875 0.625
Te 0.375 0.125 0.250
Te 0.375 0.750 0.125
Te 0.625 0.250 0.875
Te 0.625 0.875 0.750
Te 0.750 0.125 0.375
Te 0.750 0.625 0.875
Te 0.875 0.625 0.250
Te 0.875 0.750 0.625
Pb 0.006 0.193 0.098
Pb 0.006 0.313 0.908
Pb 0.092 0.598 0.405
Pb 0.092 0.994 0.687
Pb 0.095 0.693 0.687
Pb 0.095 0.902 0.408
Pb 0.098 0.006 0.193
Pb 0.098 0.592 0.905
Pb 0.187 0.193 0.595
Pb 0.187 0.494 0.592
Pb 0.193 0.098 0.006
Pb 0.193 0.595 0.187
Pb 0.307 0.313 0.905
Pb 0.307 0.494 0.402
Pb 0.313 0.905 0.307
Pb 0.313 0.908 0.006
Pb 0.402 0.307 0.494
Pb 0.402 0.595 0.908
Pb 0.405 0.092 0.598
Pb 0.405 0.813 0.807
Pb 0.408 0.095 0.902
Pb 0.408 0.813 0.506
Pb 0.494 0.402 0.307
Pb 0.494 0.592 0.187
Pb 0.506 0.408 0.813
Pb 0.506 0.598 0.693
Pb 0.592 0.187 0.494
Pb 0.592 0.905 0.098
Pb 0.595 0.187 0.193
Pb 0.595 0.908 0.402
Pb 0.598 0.405 0.092
Pb 0.598 0.693 0.506
Pb 0.687 0.092 0.994
Pb 0.687 0.095 0.693
Pb 0.693 0.506 0.598
Pb 0.693 0.687 0.095
Pb 0.807 0.405 0.813
Pb 0.807 0.902 0.994
Pb 0.813 0.506 0.408
Pb 0.813 0.807 0.405
Pb 0.902 0.408 0.095
Pb 0.902 0.994 0.807
Pb 0.905 0.098 0.592
Pb 0.905 0.307 0.313
Pb 0.908 0.006 0.313
Pb 0.908 0.402 0.595
Pb 0.994 0.687 0.092
Pb 0.994 0.807 0.902
O 0.000 0.000 0.000
O 0.000 0.000 0.500
O 0.000 0.500 0.000
O 0.000 0.500 0.500
O 0.125 0.750 0.875
O 0.125 0.875 0.250
O 0.250 0.125 0.875
O 0.250 0.625 0.375
O 0.375 0.250 0.625
O 0.375 0.625 0.750
O 0.500 0.000 0.000
O 0.500 0.000 0.500
O 0.500 0.500 0.000
O 0.500 0.500 0.500
O 0.625 0.375 0.250
O 0.625 0.750 0.375
O 0.750 0.375 0.625
O 0.750 0.875 0.125
O 0.875 0.125 0.750
O 0.875 0.250 0.125

Entry 5:
A plane-wave DFT calculation with PBE was carried out for an optimized crystal structure of TePb3O.

Properties
The total magnetization comes out at 0.00 μB per cell. As for the distance to the lowest polymorph of the same formula: 0 meV/atom. For the energy, the calculation gives -0.153 hartree per atom.

Cell: 5.150 5.150 5.150 Å, 90.00 90.00 90.00°
Sites, in units of the cell vectors:
Te 0.000 0.000 0.000
Pb 0.000 0.500 0.500
Pb 0.500 0.000 0.500
Pb 0.500 0.500 0.000
O 0.500 0.500 0.500

Entry 6:
A plane-wave DFT calculation with PBE was carried out for an optimized crystal structure of Te2Pb2O7.

Properties
The total magnetization comes out at 0.00 μB per cell. As for the distance to the lowest polymorph of the same formula: 0 meV/atom. For the energy, the calculation gives -0.201 hartree per atom.

Cell: 6.159 6.159 5.415 Å, 90.58 90.58 100.88°
Sites, in units of the cell vectors:
Te 0.000 0.000 0.000
Te 0.537 0.537 0.888
Pb 0.118 0.531 0.441
Pb 0.531 0.118 0.441
O 0.203 0.906 0.215
O 0.312 0.312 0.724
O 0.428 0.762 0.725
O 0.431 0.431 0.199
O 0.756 0.756 0.091
O 0.762 0.428 0.725
O 0.906 0.203 0.215

Entry 7:
A plane-wave DFT calculation with PBE was carried out for an optimized crystal structure of Te2Pb3O.

Properties
The total magnetization comes out at 0.00 μB per cell. As for the distance to the lowest polymorph of the same formula: 0 meV/atom. For the energy, the calculation gives -0.159 hartree per atom.

Cell: 9.383 4.434 18.060 Å, 90.00 90.00 90.00°
Sites, in units of the cell vectors:
Te 0.079 0.250 0.216
Te 0.232 0.750 0.463
Te 0.268 0.250 0.963
Te 0.421 0.750 0.716
Te 0.579 0.250 0.284
Te 0.732 0.750 0.037
Te 0.768 0.250 0.537
Te 0.921 0.750 0.784
Pb 0.014 0.750 0.603
Pb 0.151 0.750 0.075
Pb 0.179 0.250 0.762
Pb 0.321 0.750 0.262
Pb 0.349 0.250 0.575
Pb 0.486 0.250 0.103
Pb 0.514 0.750 0.897
Pb 0.651 0.750 0.425
Pb 0.679 0.250 0.738
Pb 0.821 0.750 0.238
Pb 0.849 0.250 0.925
Pb 0.986 0.250 0.397
O 0.135 0.250 0.636
O 0.365 0.750 0.136
O 0.635 0.250 0.864
O 0.865 0.750 0.364

Entry 8:
A plane-wave DFT calculation with PBE was carried out for an optimized crystal structure of Te3PbO.

Properties
The total magnetization comes out at 0.00 μB per cell. As for the distance to the lowest polymorph of the same formula: 0 meV/atom. For the energy, the calculation gives -0.135 hartree per atom.

Cell: 4.974 4.974 4.974 Å, 90.00 90.00 90.00°
Sites, in units of the cell vectors:
Te 0.000 0.000 0.500
Te 0.000 0.500 0.000
Te 0.500 0.000 0.000
Pb 0.500 0.500 0.500
O 0.000 0.000 0.000

Entry 9:
A plane-wave DFT calculation with PBE was carried out for an optimized crystal structure of TePb3O.

Properties
The total magnetization comes out at 0.00 μB per cell. As for the distance to the lowest polymorph of the same formula: 1193 meV/atom. For the energy, the calculation gives -0.109 hartree per atom.

Cell: 6.011 6.011 6.011 Å, 90.00 90.00 90.00°
Sites, in units of the cell vectors:
Te 0.000 0.000 0.000
Pb 0.000 0.000 0.500
Pb 0.000 0.500 0.000
Pb 0.500 0.000 0.000
O 0.500 0.500 0.500

Number 1: ΔE_f (raw) -0.713 eV/atom. Number 2: ΔE_f (raw) -0.907 eV/atom. Number 3: ΔE_f (raw) -0.876 eV/atom. Number 4: ΔE_f (raw) -0.375 eV/atom. Number 5: ΔE_f (raw) -0.317 eV/atom. Number 6: ΔE_f (raw) -1.060 eV/atom. Number 7: ΔE_f (raw) -0.605 eV/atom. Number 8: ΔE_f (raw) -0.043 eV/atom. Number 9: ΔE_f (raw) 0.876 eV/atom.